Material: La2Sm2C2Br2Cl3
Method: DFT, PBE
State: optimized geometry

The structure in CIF format:
```
data_La2Sm2C2Br2Cl3
_cell_length_a 19.380
_cell_length_b 3.942
_cell_length_c 8.043
_cell_angle_alpha 90.00
_cell_angle_beta 104.37
_cell_angle_gamma 90.00
_symmetry_space_group_name_H-M 'C 1 2/m 1'
_symmetry_Int_Tables_number 12
_symmetry_space_group_name_Hall '-C 2y'
loop_
_atom_site_label
_atom_site_type_symbol
_atom_site_fract_x
_atom_site_fract_y
_atom_site_fract_z
La1 La 0.001 0.000 0.213
Sm1 Sm 0.156 0.500 0.105
C1 C 0.037 0.500 0.024
Br1 Br 0.170 0.000 0.836
Cl1 Cl 0.000 0.500 0.500
Cl2 Cl 0.161 0.000 0.352
```

Values from the calculation:
ρ, g cm⁻³: 4.85
Magnetization, μB per formula unit: 0.01
Electronic total energy, eV per cell: -127.69